## La3PrEr2S6 (GGA-PBE)

Data for a relaxed La3PrEr2S6 crystal.

Structure (POSCAR):
```
La3PrEr2S6
1.0
3.493 -6.061 0.000
3.493 6.061 0.000
-2.341 0.000 6.659
La Pr Er S
3 1 2 6
Cartesian
0.000 0.000 0.000 La
3.493 1.962 0.000 La
3.493 -1.962 0.000 La
2.322 0.000 3.329 Pr
2.322 4.040 3.329 Er
2.322 -4.040 3.329 Er
1.116 2.100 1.770 S
-0.101 0.000 4.858 S
1.116 -2.100 1.770 S
3.529 2.100 4.889 S
4.745 0.000 1.800 S
3.529 -2.100 4.889 S
```

Properties
V: 281.9 Å³ per cell
M_tot: 0.000 Bohr magnetons per cell
formation energy without anion corrections: -2.076 eV per atom

***

## Co2Si3 (GGA-PBE)

Data for a relaxed Co2Si3 crystal.

Structure (POSCAR):
```
Co2Si3
1.0
1.369 0.791 9.076
-1.369 0.791 9.076
0.000 -1.581 9.076
Co Si
2 3
Cartesian
0.000 0.000 2.722 Co
0.000 0.000 24.505 Co
0.000 0.000 8.052 Si
0.000 0.000 13.613 Si
0.000 0.000 19.175 Si
```

Properties
V: 58.9 Å³ per cell
M_tot: 0.862 Bohr magnetons per cell
formation energy without anion corrections: -0.225 eV per atom

***

## Er4FeTe (GGA-PBE)

Data for a relaxed Er4FeTe crystal.

Structure (POSCAR):
```
Er4FeTe
1.0
8.491 -2.524 0.000
8.491 2.524 0.000
-2.595 0.000 8.862
Er Fe Te
8 2 2
Cartesian
-0.465 0.000 2.200 Er
0.989 0.000 8.071 Er
3.141 0.000 2.658 Er
4.316 0.000 8.486 Er
10.071 0.000 0.376 Er
11.246 0.000 6.204 Er
13.398 0.000 0.792 Er
14.852 0.000 6.662 Er
1.331 0.000 0.467 Fe
13.057 0.000 8.395 Fe
1.062 0.000 4.973 Te
13.325 0.000 3.889 Te
```

Properties
V: 379.9 Å³ per cell
distance to the lowest polymorph of the same formula: 4.99 kcal/mol of atoms
M_tot: 0.000 Bohr magnetons per cell
formation energy without anion corrections: -0.237 eV per atom

***

## BePRu2 (GGA-PBE)

Data for a relaxed BePRu2 crystal.

Structure (POSCAR):
```
BePRu2
1.0
3.665 -1.421 0.000
3.665 1.421 0.000
-0.961 0.000 4.730
Be P Ru
1 1 2
Cartesian
0.000 0.000 0.000 Be
3.184 0.000 2.365 P
1.087 0.000 3.534 Ru
5.282 0.000 1.196 Ru
```

Properties
V: 49.3 Å³ per cell
DFT formation energy: -200 meV per atom
distance to the lowest polymorph of the same formula: 6.14 kcal/mol of atoms
M_tot: 0.000 Bohr magnetons per cell

***

## TiAs2RuSe (GGA-PBE)

Data for a relaxed TiAs2RuSe crystal.

Structure (POSCAR):
```
TiAs2RuSe
1.0
4.621 0.000 0.000
0.000 4.621 0.000
0.000 0.000 5.211
Ti As Ru Se
1 2 1 1
Cartesian
0.000 0.000 0.000 Ti
0.000 2.311 2.606 As
2.311 0.000 2.606 As
2.311 2.311 2.606 Ru
2.311 2.311 0.000 Se
```

Properties
V: 111.3 Å³ per cell
distance to the lowest polymorph of the same formula: 0.00 kcal/mol of atoms
M_tot: 0.000 Bohr magnetons per cell
formation energy without anion corrections: 0.546 eV per atom

***

## Y2Zr2B (GGA-PBE)

Data for a relaxed Y2Zr2B crystal.

Structure (POSCAR):
```
Y2Zr2B
1.0
6.706 0.000 0.000
0.000 6.706 0.000
0.000 0.000 5.181
Y Zr B
4 4 2
Cartesian
1.089 2.264 0.000 Y
2.264 5.617 0.000 Y
4.442 1.089 0.000 Y
5.617 4.442 0.000 Y
1.060 4.413 2.591 Zr
2.293 1.060 2.591 Zr
4.413 5.646 2.591 Zr
5.646 2.293 2.591 Zr
0.000 0.000 2.591 B
3.353 3.353 2.591 B
```

Properties
V: 233.0 Å³ per cell
DFT formation energy: 262 meV per atom
distance to the lowest polymorph of the same formula: 0.00 kcal/mol of atoms
M_tot: 0.000 Bohr magnetons per cell

***

## KMgPbAu2 (GGA-PBE)

Data for a relaxed KMgPbAu2 crystal.

Structure (POSCAR):
```
KMgPbAu2
1.0
5.563 0.000 0.000
0.000 5.563 0.000
0.000 0.000 5.563
K Mg Pb Au
1 1 1 2
Cartesian
0.000 0.000 0.000 K
0.000 0.000 2.782 Mg
2.781 2.781 2.782 Pb
0.000 2.781 0.000 Au
2.781 0.000 0.000 Au
```

Properties
V: 172.2 Å³ per cell
DFT formation energy: 811 meV per atom
M_tot: 0.000 Bohr magnetons per cell

***

## Ta2Tc3 (GGA-PBE)

Data for a relaxed Ta2Tc3 crystal.

Structure (POSCAR):
```
Ta2Tc3
1.0
1.501 0.866 10.497
-1.501 0.866 10.497
0.000 -1.733 10.497
Ta Tc
2 3
Cartesian
0.000 0.000 3.129 Ta
0.000 0.000 28.362 Ta
0.000 0.000 9.488 Tc
0.000 0.000 15.746 Tc
0.000 0.000 22.004 Tc
```

Properties
V: 81.9 Å³ per cell
DFT formation energy: 96 meV per atom
distance to the lowest polymorph of the same formula: 4.31 kcal/mol of atoms
M_tot: 0.000 Bohr magnetons per cell